1.
# MgZrPb2 | Alexandria | PBE-GGA | optimized geometry
data_MgZrPb2
_symmetry_space_group_name_H-M 'C m m m'
_symmetry_Int_Tables_number 65
_symmetry_space_group_name_Hall '-C 2 2'
_cell_length_a 4.320
_cell_length_b 5.237
_cell_length_c 8.873
_cell_angle_alpha 90.00
_cell_angle_beta 90.00
_cell_angle_gamma 90.00
loop_
_atom_site_label
_atom_site_fract_x
_atom_site_fract_y
_atom_site_fract_z
Mg1 0.000 0.000 0.000
Zr1 0.000 0.000 0.500
Pb1 0.000 0.500 0.250
# DFT total energy: -35.4 eV for the cell shown

---

2.
# BaLi2Ca2 | Alexandria | PBE-GGA | optimized geometry
data_BaLi2Ca2
_symmetry_space_group_name_H-M 'C 1 2/m 1'
_symmetry_Int_Tables_number 12
_symmetry_space_group_name_Hall '-C 2y'
_cell_length_a 14.433
_cell_length_b 4.106
_cell_length_c 6.660
_cell_angle_alpha 90.00
_cell_angle_beta 100.56
_cell_angle_gamma 90.00
loop_
_atom_site_label
_atom_site_fract_x
_atom_site_fract_y
_atom_site_fract_z
Ba1 0.000 0.000 0.000
Li1 0.216 0.500 0.110
Ca1 0.138 0.500 0.561
# DFT total energy: -18.9 eV for the cell shown

---

- Which of these has the highest DFT total energy?
  BaLi2Ca2